Compound: YCuPS2
Source: the Alexandria database
Functional: SCAN
Structure: PBEsol geometry

```
data_YCuPS2
_chemical_formula_sum 'Y1 Cu1 P1 S2'
_cell_length_a 4.531
_cell_length_b 4.531
_cell_length_c 4.423
_cell_angle_alpha 90.00
_cell_angle_beta 90.00
_cell_angle_gamma 90.00
_space_group_name_H-M_alt 'P 1'
_space_group_IT_number 1
loop_
_space_group_symop_operation_xyz
'x,y,z'
loop_
_atom_site_label
_atom_site_type_symbol
_atom_site_fract_x
_atom_site_fract_y
_atom_site_fract_z
Y1 Y 0.000 0.000 0.000
Cu1 Cu 0.500 0.500 0.500
P1 P 0.500 0.500 0.000
S1 S 0.000 0.500 0.500
S2 S 0.500 0.000 0.500
```

Computed properties:
calculated density = 4.526 g/cm3
space-group type = No. 123
total moment = 0.00 μB/f.u.
E_form (uncorrected) = -0.47 eV/atom
VASP energy = -75.063 eV per formula unit

---

Compound: AlOF3
Source: the Alexandria database
Functional: SCAN
Structure: PBEsol geometry

```
data_AlOF3
_chemical_formula_sum 'Al1 O1 F3'
_cell_length_a 3.651
_cell_length_b 3.651
_cell_length_c 3.651
_cell_angle_alpha 90.00
_cell_angle_beta 90.00
_cell_angle_gamma 90.00
_space_group_name_H-M_alt 'P 1'
_space_group_IT_number 1
loop_
_space_group_symop_operation_xyz
'x,y,z'
loop_
_atom_site_label
_atom_site_type_symbol
_atom_site_fract_x
_atom_site_fract_y
_atom_site_fract_z
Al1 Al 0.000 0.000 0.000
O1 O 0.500 0.500 0.500
F1 F 0.000 0.000 0.500
F2 F 0.000 0.500 0.000
F3 F 0.500 0.000 0.000
```

Computed properties:
calculated density = 3.410 g/cm3
space-group type = No. 221
total moment = 2.00 μB/f.u.
E_form (uncorrected) = -2.36 eV/atom
VASP energy = -36.388 eV per formula unit

---

Compound: LiTc2Au
Source: the Alexandria database
Functional: SCAN
Structure: PBEsol geometry

```
data_LiTc2Au
_chemical_formula_sum 'Li1 Tc2 Au1'
_cell_length_a 4.626
_cell_length_b 4.626
_cell_length_c 4.626
_cell_angle_alpha 133.92
_cell_angle_beta 125.04
_cell_angle_gamma 74.46
_space_group_name_H-M_alt 'P 1'
_space_group_IT_number 1
loop_
_space_group_symop_operation_xyz
'x,y,z'
loop_
_atom_site_label
_atom_site_type_symbol
_atom_site_fract_x
_atom_site_fract_y
_atom_site_fract_z
Li1 Li 0.000 0.000 0.000
Tc1 Tc 0.258 0.758 0.500
Tc2 Tc 0.480 0.480 0.000
Au1 Au 0.756 0.256 0.500
```

Computed properties:
formation energy from the elements = 0.12 eV/atom
calculated density = 11.664 g/cm3
space-group type = No. 44
total moment = 0.00 μB/f.u.
excess energy over the best structure of this formula in the dataset = 0.00 kcal/mol of atoms
VASP energy = -141.196 eV per formula unit

---

Compound: MnMo2W
Source: the Alexandria database
Functional: SCAN
Structure: PBEsol geometry

```
data_MnMo2W
_chemical_formula_sum 'Mn1 Mo2 W1'
_cell_length_a 9.089
_cell_length_b 9.089
_cell_length_c 9.089
_cell_angle_alpha 17.29
_cell_angle_beta 17.29
_cell_angle_gamma 17.29
_space_group_name_H-M_alt 'P 1'
_space_group_IT_number 1
loop_
_space_group_symop_operation_xyz
'x,y,z'
loop_
_atom_site_label
_atom_site_type_symbol
_atom_site_fract_x
_atom_site_fract_y
_atom_site_fract_z
Mn1 Mn 0.000 0.000 0.000
Mo1 Mo 0.499 0.499 0.499
Mo2 Mo 0.742 0.742 0.742
W1 W 0.256 0.256 0.256
```

Computed properties:
formation energy from the elements = 0.48 eV/atom
calculated density = 12.352 g/cm3
space-group type = No. 160
total moment = 0.00 μB/f.u.
excess energy over the best structure of this formula in the dataset = 10.00 kcal/mol of atoms
VASP energy = -155.795 eV per formula unit

---

Compound: SrNiGe
Source: the Alexandria database
Functional: SCAN
Structure: PBEsol geometry

```
data_SrNiGe
_chemical_formula_sum 'Sr4 Ni4 Ge4'
_cell_length_a 7.324
_cell_length_b 4.138
_cell_length_c 8.858
_cell_angle_alpha 90.00
_cell_angle_beta 90.00
_cell_angle_gamma 90.00
_space_group_name_H-M_alt 'P 1'
_space_group_IT_number 1
loop_
_space_group_symop_operation_xyz
'x,y,z'
loop_
_atom_site_label
_atom_site_type_symbol
_atom_site_fract_x
_atom_site_fract_y
_atom_site_fract_z
Sr1 Sr 0.004 0.250 0.200
Sr2 Sr 0.496 0.750 0.700
Sr3 Sr 0.504 0.250 0.300
Sr4 Sr 0.996 0.750 0.800
Ni1 Ni 0.111 0.750 0.476
Ni2 Ni 0.389 0.250 0.976
Ni3 Ni 0.611 0.750 0.024
Ni4 Ni 0.889 0.250 0.524
Ge1 Ge 0.202 0.250 0.559
Ge2 Ge 0.298 0.750 0.059
Ge3 Ge 0.702 0.250 0.941
Ge4 Ge 0.798 0.750 0.441
```

Computed properties:
formation energy from the elements = -0.50 eV/atom
calculated density = 5.417 g/cm3
space-group type = No. 62
total moment = 0.00 μB/f.u.
VASP energy = -59.036 eV per formula unit

---

Compound: Zr2TlSe
Source: the Alexandria database
Functional: SCAN
Structure: PBEsol geometry

```
data_Zr2TlSe
_chemical_formula_sum 'Zr2 Tl1 Se1'
_cell_length_a 3.555
_cell_length_b 3.555
_cell_length_c 7.240
_cell_angle_alpha 90.00
_cell_angle_beta 90.00
_cell_angle_gamma 90.00
_space_group_name_H-M_alt 'P 1'
_space_group_IT_number 1
loop_
_space_group_symop_operation_xyz
'x,y,z'
loop_
_atom_site_label
_atom_site_type_symbol
_atom_site_fract_x
_atom_site_fract_y
_atom_site_fract_z
Zr1 Zr 0.000 0.000 0.000
Zr2 Zr 0.500 0.500 0.263
Tl1 Tl 0.500 0.500 0.760
Se1 Se 0.000 0.000 0.395
```

Computed properties:
calculated density = 8.452 g/cm3
space-group type = No. 99
total moment = 0.00 μB/f.u.
E_form (uncorrected) = -0.65 eV/atom
VASP energy = -156.452 eV per formula unit